# ZrTaPt4 (PBE-GGA, optimized geometry)
data_ZrTaPt4
_symmetry_space_group_name_H-M 'C 1 2/m 1'
_symmetry_Int_Tables_number 12
_symmetry_space_group_name_Hall '-C 2y'
_cell_length_a 9.305
_cell_length_b 3.430
_cell_length_c 6.952
_cell_angle_alpha 90.00
_cell_angle_beta 111.87
_cell_angle_gamma 90.00
loop_
_atom_site_label
_atom_site_fract_x
_atom_site_fract_y
_atom_site_fract_z
Zr1 0.000 0.000 0.000
Ta1 0.000 0.000 0.500
Pt1 0.158 0.500 0.340
Pt2 0.162 0.500 0.819
# Total DFT energy (no corrections): -8.323 eV per atom
# E_form: -0.896 eV/atom
# Spin magnetization: 0.0000 μB/atom
# Excess energy over the best structure of this formula in the dataset: 0.0 meV/atom

***

# Zr2TaPt (PBE-GGA, optimized geometry)
data_Zr2TaPt
_symmetry_space_group_name_H-M 'R -3 m'
_symmetry_Int_Tables_number 166
_symmetry_space_group_name_Hall '-R 3 2"'
_cell_length_a 3.1650
_cell_length_b 3.1650
_cell_length_c 27.7056
_cell_angle_alpha 90.00
_cell_angle_beta 90.00
_cell_angle_gamma 120.00
loop_
_atom_site_label
_atom_site_fract_x
_atom_site_fract_y
_atom_site_fract_z
Zr1 0.0000 0.0000 0.2465
Ta1 0.0000 0.0000 0.0000
Pt1 0.0000 0.0000 0.5000
# Total DFT energy (no corrections): -8.948 eV per atom
# E_form: -0.200 eV/atom
# Spin magnetization: 0.0000 μB/atom

***

# Zr2TaPt (PBE-GGA, optimized geometry)
data_Zr2TaPt
_symmetry_space_group_name_H-M 'C 1 2/m 1'
_symmetry_Int_Tables_number 12
_symmetry_space_group_name_Hall '-C 2y'
_cell_length_a 5.868
_cell_length_b 9.336
_cell_length_c 2.962
_cell_angle_alpha 90.00
_cell_angle_beta 109.45
_cell_angle_gamma 90.00
loop_
_atom_site_label
_atom_site_fract_x
_atom_site_fract_y
_atom_site_fract_z
Zr1 0.250 0.250 0.000
Ta1 0.000 0.000 0.500
Pt1 0.000 0.500 0.500
# Total DFT energy (no corrections): -9.024 eV per atom
# E_form: -0.277 eV/atom
# Spin magnetization: 0.0000 μB/atom

***

# ZrTa2Pt2 (PBE-GGA, optimized geometry)
data_ZrTa2Pt2
_symmetry_space_group_name_H-M 'P 4/m b m'
_symmetry_Int_Tables_number 127
_symmetry_space_group_name_Hall '-P 4 2ab'
_cell_length_a 7.582
_cell_length_b 7.582
_cell_length_c 3.195
_cell_angle_alpha 90.00
_cell_angle_beta 90.00
_cell_angle_gamma 90.00
loop_
_atom_site_label
_atom_site_fract_x
_atom_site_fract_y
_atom_site_fract_z
Zr1 0.000 0.000 0.000
Ta1 0.173 0.327 0.500
Pt1 0.127 0.627 0.000
# Total DFT energy (no corrections): -9.343 eV per atom
# E_form: -0.476 eV/atom
# Spin magnetization: 0.0000 μB/atom
# Excess energy over the best structure of this formula in the dataset: 0.0 meV/atom

***

# Zr2TaPt (PBE-GGA, optimized geometry)
data_Zr2TaPt
_symmetry_space_group_name_H-M 'R 3 m'
_symmetry_Int_Tables_number 160
_symmetry_space_group_name_Hall 'R 3 -2"'
_cell_length_a 3.1515
_cell_length_b 3.1515
_cell_length_c 28.1338
_cell_angle_alpha 90.00
_cell_angle_beta 90.00
_cell_angle_gamma 120.00
loop_
_atom_site_label
_atom_site_fract_x
_atom_site_fract_y
_atom_site_fract_z
Zr1 0.0000 0.0000 0.0000
Zr2 0.0000 0.0000 0.2401
Ta1 0.0000 0.0000 0.4878
Pt1 0.0000 0.0000 0.7483
# Total DFT energy (no corrections): -8.894 eV per atom
# E_form: -0.146 eV/atom
# Spin magnetization: 0.0000 μB/atom

***

# ZrTa2Pt2 (PBE-GGA, optimized geometry)
data_ZrTa2Pt2
_symmetry_space_group_name_H-M 'P 4/m b m'
_symmetry_Int_Tables_number 127
_symmetry_space_group_name_Hall '-P 4 2ab'
_cell_length_a 8.006
_cell_length_b 8.006
_cell_length_c 2.849
_cell_angle_alpha 90.00
_cell_angle_beta 90.00
_cell_angle_gamma 90.00
loop_
_atom_site_label
_atom_site_fract_x
_atom_site_fract_y
_atom_site_fract_z
Zr1 0.000 0.000 0.000
Ta1 0.163 0.337 0.000
Pt1 0.132 0.632 0.500
# Total DFT energy (no corrections): -9.273 eV per atom
# E_form: -0.406 eV/atom
# Spin magnetization: 0.0000 μB/atom
# Excess energy over the best structure of this formula in the dataset: 69.8 meV/atom

***

# ZrTaPt3 (PBE-GGA, optimized geometry)
data_ZrTaPt3
_symmetry_space_group_name_H-M 'P m -3 m'
_symmetry_Int_Tables_number 221
_symmetry_space_group_name_Hall '-P 4 2 3'
_cell_length_a 4.834
_cell_length_b 4.834
_cell_length_c 4.834
_cell_angle_alpha 90.00
_cell_angle_beta 90.00
_cell_angle_gamma 90.00
loop_
_atom_site_label
_atom_site_fract_x
_atom_site_fract_y
_atom_site_fract_z
Zr1 0.000 0.000 0.000
Ta1 0.500 0.500 0.500
Pt1 0.000 0.500 0.500
# Total DFT energy (no corrections): -7.253 eV per atom
# E_form: 0.451 eV/atom
# Spin magnetization: 0.0010 μB/atom
# Excess energy over the best structure of this formula in the dataset: 0.0 meV/atom

***

# Zr2TaPt (PBE-GGA, optimized geometry)
data_Zr2TaPt
_symmetry_space_group_name_H-M 'I -4 m 2'
_symmetry_Int_Tables_number 119
_symmetry_space_group_name_Hall 'I -4 -2'
_cell_length_a 4.071
_cell_length_b 4.071
_cell_length_c 9.394
_cell_angle_alpha 90.00
_cell_angle_beta 90.00
_cell_angle_gamma 90.00
loop_
_atom_site_label
_atom_site_fract_x
_atom_site_fract_y
_atom_site_fract_z
Zr1 0.000 0.000 0.000
Zr2 0.000 0.500 0.250
Ta1 0.000 0.000 0.500
Pt1 0.000 0.500 0.750
# Total DFT energy (no corrections): -9.093 eV per atom
# E_form: -0.346 eV/atom
# Spin magnetization: 0.0000 μB/atom

***

# Zr2TaPt (PBE-GGA, optimized geometry)
data_Zr2TaPt
_symmetry_space_group_name_H-M 'P m m m'
_symmetry_Int_Tables_number 47
_symmetry_space_group_name_Hall '-P 2 2'
_cell_length_a 3.534
_cell_length_b 4.522
_cell_length_c 4.792
_cell_angle_alpha 90.00
_cell_angle_beta 90.00
_cell_angle_gamma 90.00
loop_
_atom_site_label
_atom_site_fract_x
_atom_site_fract_y
_atom_site_fract_z
Zr1 0.000 0.000 0.000
Zr2 0.500 0.000 0.500
Ta1 0.000 0.500 0.500
Pt1 0.500 0.500 0.000
# Total DFT energy (no corrections): -9.070 eV per atom
# E_form: -0.322 eV/atom
# Spin magnetization: 0.0000 μB/atom

***

# ZrTa3Pt (PBE-GGA, optimized geometry)
data_ZrTa3Pt
_symmetry_space_group_name_H-M 'P m -3 m'
_symmetry_Int_Tables_number 221
_symmetry_space_group_name_Hall '-P 4 2 3'
_cell_length_a 4.806
_cell_length_b 4.806
_cell_length_c 4.806
_cell_angle_alpha 90.00
_cell_angle_beta 90.00
_cell_angle_gamma 90.00
loop_
_atom_site_label
_atom_site_fract_x
_atom_site_fract_y
_atom_site_fract_z
Zr1 0.000 0.000 0.000
Ta1 0.000 0.000 0.500
Pt1 0.500 0.500 0.500
# Total DFT energy (no corrections): -8.087 eV per atom
# E_form: 1.942 eV/atom
# Spin magnetization: 0.0000 μB/atom
# Excess energy over the best structure of this formula in the dataset: 948.9 meV/atom

***

# ZrTaPt4 (PBE-GGA, optimized geometry)
data_ZrTaPt4
_symmetry_space_group_name_H-M 'F -4 3 m'
_symmetry_Int_Tables_number 216
_symmetry_space_group_name_Hall 'F -4 2 3'
_cell_length_a 7.454
_cell_length_b 7.454
_cell_length_c 7.454
_cell_angle_alpha 90.00
_cell_angle_beta 90.00
_cell_angle_gamma 90.00
loop_
_atom_site_label
_atom_site_fract_x
_atom_site_fract_y
_atom_site_fract_z
Zr1 0.000 0.000 0.000
Ta1 0.250 0.250 0.750
Pt1 0.125 0.125 0.375
# Total DFT energy (no corrections): -7.946 eV per atom
# E_form: -0.519 eV/atom
# Spin magnetization: 0.0001 μB/atom
# Excess energy over the best structure of this formula in the dataset: 376.9 meV/atom

***

# Zr2TaPt (PBE-GGA, optimized geometry)
data_Zr2TaPt
_symmetry_space_group_name_H-M 'P 1 m 1'
_symmetry_Int_Tables_number 6
_symmetry_space_group_name_Hall 'P -2y'
_cell_length_a 3.008
_cell_length_b 4.788
_cell_length_c 5.464
_cell_angle_alpha 90.00
_cell_angle_beta 101.01
_cell_angle_gamma 90.00
loop_
_atom_site_label
_atom_site_fract_x
_atom_site_fract_y
_atom_site_fract_z
Zr1 0.000 0.000 0.000
Zr2 0.248 0.500 0.714
Ta1 0.537 0.000 0.498
Pt1 0.717 0.500 0.228
# Total DFT energy (no corrections): -9.027 eV per atom
# E_form: -0.280 eV/atom
# Spin magnetization: 0.0000 μB/atom